1.
# NpClF2

A relaxed structure of NpClF2 (PBE-GGA, the Open Quantum Materials Database).

```
NpClF2
1.0
1.9496 -4.9538 0.0000
1.9496 4.9538 0.0000
0.0000 0.0000 7.0238
Np Cl F
2 2 4
direct
0.2245 0.7755 0.7500
0.7755 0.2245 0.2500
0.0567 0.9433 0.2500
0.9433 0.0567 0.7500
0.3282 0.6718 0.0623
0.3282 0.6718 0.4377
0.6718 0.3282 0.5623
0.6718 0.3282 0.9377
```

Density in g/cm3: 7.60
Calculated total energy in eV per formula unit: -30.002
Space group: Cmcm (63)

2.
# LiAlNi2

A relaxed structure of LiAlNi2 (PBE-GGA, the Open Quantum Materials Database).

```
LiAlNi2
1.0
4.0021 0.0000 0.0000
-2.0010 3.4659 0.0000
0.0000 0.0000 7.1463
Li Al Ni
2 2 4
direct
0.0000 0.0000 0.0000
0.0000 0.0000 0.5000
0.3333 0.6667 0.2500
0.6667 0.3333 0.7500
0.3333 0.6667 0.5872
0.3333 0.6667 0.9128
0.6667 0.3333 0.0872
0.6667 0.3333 0.4128
```

Density in g/cm3: 5.07
Calculated total energy in eV per formula unit: -17.880
Space group: P6_3/mmc (194)